Material: TaBeNi3
Method: DFT, meta-GGA SCAN
State: single point on PBEsol structure

It has space group Pm-3m (No. 221), with a = 3.863 Å, b = 3.863 Å, c = 3.863 Å, α = 90.00°, β = 90.00° and γ = 90.00°. The distinct sites, in fractional coordinates, are Ta at (0.000, 0.000, 0.000), Be at (0.500, 0.500, 0.500) and Ni at (0.000, 0.500, 0.500).

As for the density: 10.54 Mg/m³. As for the formation energy: 0.161 eV per atom. The crystal system is cubic.